1.
5
Lattice="4.756 0.000 0.000 0.000 4.756 0.000 0.000 0.000 4.329" Properties=species:S:1:pos:R:3 comment="RuCSeBr2 GGA-PBE optimized geometry" dos_at_fermi_per_ev_cell=4.98 formation_energy_uncorrected_ev_per_atom=1.636 relative_energy_mev_per_atom=62 spacegroup=P4/mmm pbc="T T T"
Br 0.000 2.378 0.000
Br 2.378 0.000 0.000
Ru 2.378 2.378 2.164
C 0.000 0.000 0.000
Se 0.000 0.000 2.164


2.
22
Lattice="13.667 0.000 0.000 0.000 3.668 0.003 0.000 1.651 6.178" Properties=species:S:1:pos:R:3 comment="Er4C7 GGA-PBE optimized geometry" dos_at_fermi_per_ev_cell=0.71 delta_e_f_mev_per_atom=-304 spacegroup=P2_1/c pbc="T T T"
C 8.255 2.770 0.314
C 9.526 2.361 0.283
C 10.975 3.187 3.372
C 5.413 2.550 5.867
C 3.896 2.654 2.621
C 2.692 2.133 2.809
C 0.000 0.000 0.000
C 12.246 3.595 3.403
C 2.938 3.479 5.710
C 1.421 1.724 2.778
C 4.142 2.958 5.898
C 6.834 0.825 3.089
C 9.772 2.666 3.559
C 10.729 1.840 0.470
Er 7.583 2.598 4.700
Er 2.206 3.725 0.997
Er 4.627 4.550 4.086
Er 11.461 1.595 5.184
Er 9.040 0.769 2.095
Er 6.084 2.722 1.481
Er 0.749 3.547 4.570
Er 12.918 1.772 1.611


3.
4
Lattice="3.700 0.000 0.000 1.850 3.204 0.000 1.850 1.068 10.318" Properties=species:S:1:pos:R:3 comment="AcEr2Ga GGA-PBE optimized geometry" dos_at_fermi_per_ev_cell=4.05 delta_e_f_mev_per_atom=-158 relative_energy_mev_per_atom=86 spacegroup=R-3m pbc="T T T"
Er 5.550 3.204 8.218
Er 1.850 1.068 2.099
Ac 3.700 2.136 5.159
Ga 0.000 0.000 0.000


4.
18
Lattice="-0.395 3.746 -0.996 -6.261 -2.220 1.753 2.237 3.559 12.496" Properties=species:S:1:pos:R:3 comment="CeGa3Pt5 GGA-PBE optimized geometry" dos_at_fermi_per_ev_cell=18.38 delta_e_f_mev_per_atom=-690 spacegroup=Cmcm pbc="T T T"
Ga 0.052 2.582 9.688
Ga -0.748 3.446 5.634
Ga -4.471 2.503 3.565
Ga -2.705 3.176 13.016
Ga -3.671 1.639 7.619
Ga -1.714 1.909 0.237
Pt -0.503 3.148 12.035
Pt -5.678 0.208 3.031
Pt 1.259 4.878 10.222
Pt 1.118 1.780 6.248
Pt -3.916 1.937 1.217
Pt 0.000 0.000 0.000
Pt -5.226 0.926 5.553
Pt 0.808 4.159 7.700
Pt -3.141 3.170 5.546
Pt -1.278 1.915 7.706
Ce -1.044 0.804 3.435
Ce -3.375 4.282 9.817


5.
4
Lattice="-3.535 0.452 4.394 4.908 -2.747 -0.615 4.243 1.863 -3.246" Properties=species:S:1:pos:R:3 comment="Ti2CuOs GGA-PBE optimized geometry" dos_at_fermi_per_ev_cell=3.49 delta_e_f_mev_per_atom=443 spacegroup=Immm pbc="T T T"
Ti 6.885 -0.665 -2.905
Ti 2.266 -0.219 -0.956
Cu 0.000 0.000 0.000
Os 4.575 -0.442 -1.930


6.
4
Lattice="3.652 0.000 0.000 0.000 3.652 0.000 0.000 0.000 7.515" Properties=species:S:1:pos:R:3 comment="Cd2InHg GGA-PBE optimized geometry" dos_at_fermi_per_ev_cell=2.11 delta_e_f_mev_per_atom=48 relative_energy_mev_per_atom=29 spacegroup=P4mm pbc="T T T"
In 1.826 1.826 5.669
Hg 0.000 0.000 3.676
Cd 1.826 1.826 1.853
Cd 0.000 0.000 0.075


7.
5
Lattice="-2.349 1.819 4.236 -4.490 -2.736 -1.315 1.697 -4.079 2.693" Properties=species:S:1:pos:R:3 comment="AlSn2TeMo GGA-PBE optimized geometry" dos_at_fermi_per_ev_cell=3.48 formation_energy_uncorrected_ev_per_atom=1.056 spacegroup=P4/mmm pbc="T T T"
Al 0.000 0.000 0.000
Te -2.245 -1.368 -0.657
Sn 0.849 -2.039 1.346
Sn -1.174 0.910 2.118
Mo -2.571 -2.498 2.807


8.
4
Lattice="-2.524 -0.201 2.300 -1.168 -2.828 -1.529 4.605 -4.425 4.667" Properties=species:S:1:pos:R:3 comment="Gd2ReCl GGA-PBE optimized geometry" dos_at_fermi_per_ev_cell=1.47 formation_energy_uncorrected_ev_per_atom=-0.626 relative_energy_mev_per_atom=0 spacegroup=P4/mmm pbc="T T T"
Cl 0.456 -3.727 2.719
Gd 0.986 -0.947 0.999
Gd 3.619 -3.478 3.668
Re -1.846 -1.515 0.385


9.
11
Lattice="6.008 -0.609 -0.913 -1.876 9.403 -1.151 -1.876 -4.683 8.234" Properties=species:S:1:pos:R:3 comment="La8TbSm2 GGA-PBE optimized geometry" dos_at_fermi_per_ev_cell=15.57 delta_e_f_mev_per_atom=121 relative_energy_mev_per_atom=105 spacegroup=C2/m pbc="T T T"
Tb 3.004 -0.304 -0.457
La 1.956 4.877 3.709
La 0.299 2.567 0.241
La 1.128 -2.101 5.855
La 2.635 1.557 2.337
La -0.380 2.554 3.833
La 1.956 1.545 5.929
La 1.128 6.212 0.316
La 0.299 -0.766 2.462
Sm -1.876 -0.316 5.325
Sm -1.876 5.036 1.759


10.
15
Lattice="-7.212 3.359 2.786 2.939 -7.117 3.433 4.210 7.580 1.761" Properties=species:S:1:pos:R:3 comment="Th8Te3PRu3 GGA-PBE optimized geometry" dos_at_fermi_per_ev_cell=13.33 formation_energy_uncorrected_ev_per_atom=-0.789 spacegroup=R-3m pbc="T T T"
Te 0.000 0.000 0.000
Te -2.137 -1.879 3.110
Te 1.469 -3.558 1.716
Th -0.653 2.907 1.410
Th -0.961 4.457 4.890
Th 4.066 -0.704 5.227
Th 0.898 -0.635 3.090
Th -4.129 4.526 2.753
Th 2.650 2.727 3.571
Th 0.589 0.915 6.570
Th -2.713 1.095 4.409
Ru -1.501 5.470 2.274
Ru -0.032 1.911 3.990
Ru 3.575 0.232 2.597
P 2.105 3.790 0.881


11.
14
Lattice="0.879 3.295 2.400 5.251 -2.820 5.571 7.329 2.533 -2.538" Properties=species:S:1:pos:R:3 comment="Y3Zn6Pd5 GGA-PBE optimized geometry" dos_at_fermi_per_ev_cell=7.12 delta_e_f_mev_per_atom=-640 spacegroup=Immm pbc="T T T"
Zn 7.093 2.441 1.297
Zn 9.240 3.771 2.308
Zn 6.366 0.567 4.136
Zn 8.371 1.530 5.703
Zn 4.218 -0.763 3.125
Zn 5.088 1.478 -0.269
Pd 11.550 2.636 3.020
Pd 1.908 0.371 2.414
Pd 6.290 -0.144 1.517
Pd 10.977 1.159 5.257
Pd 2.481 1.849 0.176
Y 9.177 0.754 2.849
Y 0.000 0.000 0.000
Y 4.281 2.253 2.584


12.
20
Lattice="6.647 0.244 0.192 1.750 6.603 -0.901 1.750 0.676 6.630" Properties=species:S:1:pos:R:3 comment="LiAlPd3 GGA-PBE optimized geometry" dos_at_fermi_per_ev_cell=7.67 delta_e_f_mev_per_atom=-543 relative_energy_mev_per_atom=0 spacegroup=C2/c pbc="T T T"
Pd 8.594 5.196 3.498
Pd 6.433 6.881 3.783
Pd 5.171 4.842 -0.314
Pd 7.038 2.351 0.218
Pd 4.976 2.681 6.235
Pd 5.270 4.499 4.133
Pd 3.109 5.172 5.703
Pd 1.848 0.710 4.684
Pd 1.553 2.327 2.423
Pd 8.299 6.813 1.237
Pd 4.877 3.024 1.788
Pd 3.714 0.642 2.138
Li 6.083 1.997 3.799
Li 2.759 4.040 0.952
Li 7.388 3.483 4.969
Li 4.064 5.526 2.122
Al 6.735 0.985 6.613
Al 3.412 6.538 -0.692
Al 3.412 2.760 4.107
Al 6.735 4.763 1.814


13.
6
Lattice="4.874 0.000 0.000 0.000 3.513 0.000 -2.437 -1.756 7.800" Properties=species:S:1:pos:R:3 comment="PmNbS GGA-PBE optimized geometry" dos_at_fermi_per_ev_cell=4.73 formation_energy_uncorrected_ev_per_atom=-0.682 spacegroup=Immm pbc="T T T"
S 0.000 1.756 2.364
S 2.437 0.000 5.436
Pm 2.437 0.000 2.604
Pm 0.000 1.756 5.197
Nb 1.255 1.756 0.000
Nb 3.619 1.756 0.000


14.
9
Lattice="8.072 1.308 0.890 3.198 7.650 0.159 3.198 2.957 7.057" Properties=species:S:1:pos:R:3 comment="PuTl2I4Br2 GGA-PBE optimized geometry" dos_at_fermi_per_ev_cell=7.03 formation_energy_uncorrected_ev_per_atom=-0.890 spacegroup=C2/m pbc="T T T"
Tl 7.453 3.455 2.351
Tl 7.016 8.460 5.756
I 9.147 5.622 6.321
I 5.322 6.293 1.785
I 5.322 3.971 5.198
I 9.147 7.944 2.908
Br 11.703 9.251 6.294
Br 2.766 2.664 1.813
Pu 4.036 0.654 0.445


15.
21
Lattice="3.960 0.000 0.000 0.000 7.647 -4.415 0.000 0.000 8.830" Properties=species:S:1:pos:R:3 comment="Y2B7Rh12 GGA-PBE optimized geometry" dos_at_fermi_per_ev_cell=11.60 delta_e_f_mev_per_atom=-459 spacegroup=P-3 pbc="T T T"
Rh 2.972 2.892 6.586
Rh 2.972 0.498 3.627
Rh 0.988 4.755 -2.171
Rh 2.958 6.905 2.675
Rh 2.958 6.511 -2.902
Rh 2.958 1.878 0.227
Rh 2.972 4.257 3.033
Rh 1.002 5.769 4.188
Rh 1.002 1.136 7.317
Rh 0.988 7.150 0.788
Rh 1.002 0.742 1.740
Rh 0.988 3.390 1.383
B 2.993 2.262 2.271
B 2.993 0.836 5.736
B 0.968 3.098 -0.824
B 2.993 4.549 5.239
B 0.968 6.812 -1.320
B 1.980 0.000 0.000
B 0.968 5.385 2.144
Y 2.959 5.098 0.000
Y 1.001 2.549 4.415


16.
5
Lattice="5.437 0.000 0.000 0.000 5.437 0.000 0.000 0.000 5.437" Properties=species:S:1:pos:R:3 comment="CdSn3As GGA-PBE optimized geometry" dos_at_fermi_per_ev_cell=2.80 delta_e_f_mev_per_atom=696 relative_energy_mev_per_atom=231 spacegroup=Pm-3m pbc="T T T"
Cd 0.000 0.000 0.000
As 2.719 2.719 2.719
Sn 0.000 0.000 2.719
Sn 0.000 2.719 0.000
Sn 2.719 0.000 0.000


17.
5
Lattice="4.210 0.000 0.000 0.000 4.210 0.000 0.000 0.000 5.566" Properties=species:S:1:pos:R:3 comment="RbTeRhN2 GGA-PBE optimized geometry" dos_at_fermi_per_ev_cell=5.51 formation_energy_uncorrected_ev_per_atom=1.230 relative_energy_mev_per_atom=0 spacegroup=P4/mmm pbc="T T T"
Rh 0.000 0.000 0.000
Rb 2.105 2.105 2.783
N 2.105 0.000 0.000
N 0.000 2.105 0.000
Te 0.000 0.000 2.783


18.
7
Lattice="4.907 -0.057 -1.761 -2.462 4.274 -1.691 -0.033 0.057 5.213" Properties=species:S:1:pos:R:3 comment="V4Mo2Os GGA-PBE optimized geometry" dos_at_fermi_per_ev_cell=4.56 delta_e_f_mev_per_atom=136 relative_energy_mev_per_atom=0 spacegroup=I4/mmm pbc="T T T"
Mo 2.437 0.000 1.726
Mo 1.222 2.108 -1.726
V -0.016 0.028 2.607
V -1.231 2.137 -0.845
V 2.453 -0.028 -0.881
V 1.206 2.137 0.881
Os 0.000 0.000 0.000


19.
4
Lattice="-1.497 2.233 4.348 1.497 -2.233 4.348 1.497 2.233 -4.348" Properties=species:S:1:pos:R:3 comment="POsW2 GGA-PBE optimized geometry" dos_at_fermi_per_ev_cell=1.81 delta_e_f_mev_per_atom=69 spacegroup=Immm pbc="T T T"
P 0.000 2.233 0.000
W 0.000 0.000 2.385
W 0.000 0.000 6.312
Os 1.497 0.000 0.000


20.
12
Lattice="-1.391 -6.515 1.695 6.441 2.363 0.430 -2.959 3.543 6.542" Properties=species:S:1:pos:R:3 comment="K3HfSc2Se6 GGA-PBE optimized geometry" dos_at_fermi_per_ev_cell=4.33 formation_energy_uncorrected_ev_per_atom=-1.508 spacegroup=C2/m pbc="T T T"
Se 1.865 1.204 1.576
Se -0.710 -1.715 1.992
Se 0.226 -1.813 7.091
Se -1.047 1.750 5.802
Se 2.800 1.106 6.675
Se 3.137 -2.359 2.865
K 3.645 2.642 3.913
K 1.045 -0.304 4.333
K -1.554 -3.251 4.753
Sc 1.221 -3.554 1.273
Sc 3.828 -0.598 0.852
Hf 0.000 0.000 0.000


| no. | total magnetic moment (μB per atom) |
| --- | --- |
| 1 | 0.696 |
| 2 | 0.000 |
| 3 | 0.000 |
| 4 | 0.095 |
| 5 | 0.000 |
| 6 | 0.000 |
| 7 | 0.872 |
| 8 | 3.521 |
| 9 | 0.000 |
| 10 | 0.000 |
| 11 | 0.000 |
| 12 | 0.000 |
| 13 | 0.000 |
| 14 | 0.444 |
| 15 | 0.000 |
| 16 | 0.000 |
| 17 | 0.000 |
| 18 | 0.000 |
| 19 | 0.000 |
| 20 | 0.000 |